Crystalline Na8Pd at its relaxed geometry, computed with PBE.

Unit cell a=10.4231 b=10.4231 c=5.0475 alpha=90.00 beta=90.00 gamma=90.00
Space group I4/mmm (No. 139)
Inequivalent atoms, fractional coordinates:
Na  0.0000  0.3068  0.0000 [8 per cell]
Na  0.1495  0.1495  0.5000 [8 per cell]
Pd  0.0000  0.0000  0.0000 [2 per cell]

## Properties
* size of the total moment: 0.00 μB/f.u.
* crystal system: tetragonal
* calculated total energy: -1.735 eV/atom